Material: BaCrCu2
Method: DFT, GGA-PBE
State: optimized geometry

Values from the calculation:
The formation energy comes out at 594 meV/atom. For the density, the calculation gives 6.03 g/cm³. As for the spin magnetization: 4.42 μB/cell. As for the symmetry: Imm2. The volume is 87.1 Å³ per cell.

a = 5.839 Å, b = 5.839 Å, c = 5.839 Å
α = 146.60°, β = 126.47°, γ = 64.58°
Each line ends with the local moment (μB).
Element x y z (fractional)
Ba 0.512 0.512 0.000  0.01
Cr 0.207 0.707 0.500  3.86
Cu 0.984 0.984 0.000  0.04
Cu 0.797 0.297 0.500  0.02